## PmPuNi2H8 (PBE-GGA)

Data for crystalline PmPuNi2H8 at its relaxed geometry.

Its density of states at the Fermi level is 1.02 states/eV per atom. The calculation puts the density at 7962 kg/m3. The total magnetization is 4.24 μB per formula unit. The final energy comes out at -5.063 eV/atom.

The space group is R-3m (No. 166, hexagonal axes) and the conventional cell measures 4.4471, 4.4471 and 18.7939 Å, with angles of 90.00, 90.00 and 120.00 degrees. Symmetry generates all atoms from Pm at (0.0000, 0.0000, 0.0000), Pu at (0.0000, 0.0000, 0.5000), Ni at (0.0000, 0.0000, 0.2376), H at (0.0000, 0.0000, 0.1509) and H at (0.0385, 0.5193, 0.0610).